## DyYThCd (PBE)

Data for a relaxed structure of DyYThCd.

a = 7.7628 Å, b = 7.7628 Å, c = 7.7628 Å
α = 90.00°, β = 90.00°, γ = 90.00°
Space group F-43m (No. 216)
One atom of each set of equivalent atoms:
Dy 0.0000 0.0000 0.0000 [4 per cell]
Y 0.0000 0.0000 0.5000 [4 per cell]
Th 0.2500 0.2500 0.2500 [4 per cell]
Cd 0.2500 0.2500 0.7500 [4 per cell]

Output
distance to the lowest polymorph of the same formula	104	kJ/mol of formula units
total moment	1.24	μB/f.u.
E_form	100.2	meV per atom
uncorrected energy	-4.75	eV per atom
V	29.24	Å³/atom
density of states at the Fermi level	1.61	states/eV/atom

=====

## DyYThCd (PBE)

Data for a relaxed structure of DyYThCd.

a = 3.6176 Å, b = 3.6176 Å, c = 8.8585 Å
α = 90.00°, β = 90.00°, γ = 90.00°
Space group P4mm (No. 99)
One atom of each set of equivalent atoms:
Dy 0.0000 0.0000 0.0000 [1 per cell]
Y 0.0000 0.0000 0.5405 [1 per cell]
Th 0.5000 0.5000 0.2688 [1 per cell]
Cd 0.5000 0.5000 0.7712 [1 per cell]

Output
distance to the lowest polymorph of the same formula	0	kJ/mol of formula units
total moment	0.00	μB/f.u.
E_form	-169.4	meV per atom
uncorrected energy	-5.02	eV per atom
V	28.98	Å³/atom
density of states at the Fermi level	1.30	states/eV/atom

=====

## DyThZnCd (PBE)

Data for a relaxed structure of DyThZnCd.

a = 7.4426 Å, b = 7.4426 Å, c = 7.4426 Å
α = 90.00°, β = 90.00°, γ = 90.00°
Space group F-43m (No. 216)
One atom of each set of equivalent atoms:
Dy 0.0000 0.0000 0.0000 [4 per cell]
Th 0.0000 0.0000 0.5000 [4 per cell]
Zn 0.2500 0.2500 0.7500 [4 per cell]
Cd 0.2500 0.2500 0.2500 [4 per cell]

Output
total moment	0.00	μB/f.u.
E_form	-176.6	meV per atom
uncorrected energy	-3.73	eV per atom
V	25.77	Å³/atom
density of states at the Fermi level	1.51	states/eV/atom

=====

## DyTiCd2 (PBE)

Data for a relaxed structure of DyTiCd2.

a = 4.5202 Å, b = 4.5202 Å, c = 4.4150 Å
α = 90.00°, β = 90.00°, γ = 90.00°
Space group P4/mmm (No. 123)
One atom of each set of equivalent atoms:
Dy 0.0000 0.0000 0.0000 [1 per cell]
Ti 0.5000 0.5000 0.0000 [1 per cell]
Cd 0.0000 0.5000 0.5000 [2 per cell]

Output
distance to the lowest polymorph of the same formula	6	kJ/mol of formula units
total moment	1.52	μB/f.u.
E_form	-53.4	meV per atom
uncorrected energy	-3.64	eV per atom
V	22.55	Å³/atom
density of states at the Fermi level	0.92	states/eV/atom

=====

## DyTiCd2 (PBE)

Data for a relaxed structure of DyTiCd2.

a = 7.1321 Å, b = 7.1321 Å, c = 7.1321 Å
α = 90.00°, β = 90.00°, γ = 90.00°
Space group Fm-3m (No. 225)
One atom of each set of equivalent atoms:
Dy 0.0000 0.0000 0.0000 [4 per cell]
Ti 0.0000 0.0000 0.5000 [4 per cell]
Cd 0.2500 0.2500 0.2500 [8 per cell]

Output
distance to the lowest polymorph of the same formula	4	kJ/mol of formula units
total moment	1.65	μB/f.u.
E_form	-59.4	meV per atom
uncorrected energy	-3.64	eV per atom
V	22.67	Å³/atom
density of states at the Fermi level	0.87	states/eV/atom

=====

## DyTiCd (PBE)

Data for a relaxed structure of DyTiCd.

a = 3.3041 Å, b = 3.3041 Å, c = 12.5634 Å
α = 90.00°, β = 90.00°, γ = 90.00°
Space group I4mm (No. 107)
One atom of each set of equivalent atoms:
Dy 0.0000 0.0000 0.0000 [2 per cell]
Ti 0.0000 0.0000 0.6667 [2 per cell]
Cd 0.0000 0.0000 0.3111 [2 per cell]

Output
distance to the lowest polymorph of the same formula	0	kJ/mol of formula units
total moment	0.00	μB/f.u.
E_form	-10.7	meV per atom
uncorrected energy	-4.48	eV per atom
V	22.86	Å³/atom
density of states at the Fermi level	0.62	states/eV/atom

=====

> Among the records above, which one has the highest V?

number 1

=====

Please write out number 6 again, unchanged.
## DyTiCd (PBE)

Data for a relaxed structure of DyTiCd.

a = 3.3041 Å, b = 3.3041 Å, c = 12.5634 Å
α = 90.00°, β = 90.00°, γ = 90.00°
Space group I4mm (No. 107)
One atom of each set of equivalent atoms:
Dy 0.0000 0.0000 0.0000 [2 per cell]
Ti 0.0000 0.0000 0.6667 [2 per cell]
Cd 0.0000 0.0000 0.3111 [2 per cell]

Output
distance to the lowest polymorph of the same formula	0	kJ/mol of formula units
total moment	0.00	μB/f.u.
E_form	-10.7	meV per atom
uncorrected energy	-4.48	eV per atom
V	22.86	Å³/atom
density of states at the Fermi level	0.62	states/eV/atom

=====

> Which value of density of states at the Fermi level does entry 1 give?

1.61 states/eV/atom

=====

> Number 5 is which compound?

DyTiCd2